1.
Below is a geometry-optimized LiVCu structure, with properties calculated at the GGA-PBE level.

Values from the calculation:
The calculation puts the density of states at the Fermi level at 3.40 states/eV per cell. As for the size of the total moment: 0.00 μB per atom. Its total energy is -4.93 eV per atom. As for the theoretical density: 5.032 g/cm³.

Lattice parameters (Å, degrees): 2.683 3.415 8.744 90.00 90.16 90.00
Space group P2_1/m (No. 11)
One atom of each set of equivalent atoms:
Li: 0.248 0.250 0.090 [2 per cell]
V: 0.249 0.250 0.419 [2 per cell]
Cu: 0.253 0.250 0.746 [2 per cell]

---

2.
Below is a geometry-optimized Si2IrPd structure, with properties calculated at the GGA-PBE level.

Values from the calculation:
The calculation puts the density of states at the Fermi level at 5.66 states/eV per cell. As for the size of the total moment: 0.00 μB per atom. For the energy above the lowest structure with this stoichiometry, the calculation gives 0.272 eV per atom. The uncorrected formation energy comes out at -0.14 eV/atom. Its total energy is -6.37 eV per atom. As for the theoretical density: 7.475 g/cm³.

Lattice parameters (Å, degrees): 5.434 5.434 10.678 90.00 90.00 90.00
Space group I-42d (No. 122)
One atom of each set of equivalent atoms:
Si: 0.239 0.250 0.125 [8 per cell]
Ir: 0.000 0.000 0.000 [4 per cell]
Pd: 0.000 0.000 0.500 [4 per cell]

---

3.
Below is a geometry-optimized CoC3Br structure, with properties calculated at the GGA-PBE level.

Values from the calculation:
The calculation puts the density of states at the Fermi level at 3.86 states/eV per cell. As for the size of the total moment: 0.19 μB per atom. For the energy above the lowest structure with this stoichiometry, the calculation gives 0.000 eV per atom. The uncorrected formation energy comes out at 2.34 eV/atom. Its total energy is -4.95 eV per atom. As for the theoretical density: 5.072 g/cm³.

Lattice parameters (Å, degrees): 3.854 3.854 3.854 90.00 90.00 90.00
Space group Pm-3m (No. 221)
One atom of each set of equivalent atoms:
Co: 0.000 0.000 0.000 [1 per cell]
C: 0.000 0.000 0.500 [3 per cell]
Br: 0.500 0.500 0.500 [1 per cell]

---

4.
Below is a geometry-optimized LaTbPm4 structure, with properties calculated at the GGA-PBE level.

Values from the calculation:
The calculation puts the density of states at the Fermi level at 18.89 states/eV per cell. As for the size of the total moment: 0.00 μB per atom. For the energy above the lowest structure with this stoichiometry, the calculation gives 0.000 eV per atom. Its total energy is -4.74 eV per atom. As for the theoretical density: 7.045 g/cm³.

Lattice parameters (Å, degrees): 12.111 3.662 10.297 90.00 115.04 90.00
Space group C2/m (No. 12)
One atom of each set of equivalent atoms:
La: 0.000 0.000 0.000 [2 per cell]
Tb: 0.000 0.000 0.500 [2 per cell]
Pm: 0.166 0.500 0.830 [4 per cell]
Pm: 0.167 0.500 0.336 [4 per cell]